Material: NdLuPu2
Method: DFT, PBE
State: relaxed Values from VASP.

Summary:
- ΔH_f (0 K) (eV per formula unit) = 0.79
- DOS(E_F) (states/eV per atom) = 4.022
- size of the total moment (Bohr magnetons per cell) = 12.39
- symmetry = P4/mmm
- E above lowest polymorph (kcal/mol of atoms) = 0.21
- total DFT energy (no corrections) (eV per atom) = -9.291

```
&SYSTEM
  ibrav = 0, nat = 4, ntyp = 3
/
ATOMIC_SPECIES
Nd 144.24 Nd.upf
Lu 174.97 Lu.upf
Pu 244.00 Pu.upf
CELL_PARAMETERS angstrom
4.8319 0.0000 0.0000
0.0000 4.8319 0.0000
0.0000 0.0000 5.0322
ATOMIC_POSITIONS crystal
Nd 0.0000 0.0000 0.0000
Lu 0.5000 0.5000 0.0000
Pu 0.0000 0.5000 0.5000
Pu 0.5000 0.0000 0.5000
```